# 1
The following is a GGA-PBE calculation of an optimized crystal structure of CuW2N, from Alexandria via LeMat-Bulk.

Cell lengths 6.615, 6.615, 6.615 Å; angles 138.27, 138.27, 60.49 degrees
Positions (direct):
Cu1 0.000 0.000 0.000
Cu2 0.750 0.250 0.500
W1 0.224 0.625 0.099
W2 0.375 0.474 0.599
W3 0.526 0.125 0.901
W4 0.875 0.776 0.401
N1 0.250 0.750 0.500
N2 0.500 0.500 0.000

Values from the calculation:
energy relative to the lowest polymorph listed for this composition: 104 kJ/mol of formula units
V: 126.9 Å³ per cell
crystal system: tetragonal
DOS(E_F): 0.6653 states/eV per atom
uncorrected formation energy: 806.9 meV/atom
total magnetization: 0.00 μB per formula unit

***

# 2
The following is a GGA-PBE calculation of an optimized crystal structure of ZrCuWN2, from Alexandria via LeMat-Bulk.

Cell lengths 3.871, 3.871, 4.800 Å; angles 90.00, 90.00, 90.00 degrees
Positions (direct):
Zr1 0.000 0.000 0.000
Cu1 0.000 0.000 0.500
W1 0.500 0.500 0.000
N1 0.000 0.500 0.500
N2 0.500 0.000 0.500

Values from the calculation:
V: 71.9 Å³ per cell
crystal system: tetragonal
DOS(E_F): 0.9899 states/eV per atom
uncorrected formation energy: 1964.7 meV/atom
total magnetization: 0.00 μB per formula unit

***

# 3
The following is a GGA-PBE calculation of an optimized crystal structure of YCu3N, from Alexandria via LeMat-Bulk.

Cell lengths 5.386, 5.386, 5.386 Å; angles 90.00, 90.00, 90.00 degrees
Positions (direct):
Y1 0.000 0.000 0.000
Cu1 0.000 0.000 0.500
Cu2 0.000 0.500 0.000
Cu3 0.500 0.000 0.000
N1 0.500 0.500 0.500

Values from the calculation:
energy relative to the lowest polymorph listed for this composition: 883 kJ/mol of formula units
V: 156.2 Å³ per cell
crystal system: cubic
DOS(E_F): 0.0005 states/eV per atom
uncorrected formation energy: 2142.7 meV/atom
total magnetization: 3.00 μB per formula unit

***

# 4
The following is a GGA-PBE calculation of an optimized crystal structure of Y12Cu6N, from Alexandria via LeMat-Bulk.

Cell lengths 7.917, 7.917, 7.917 Å; angles 96.76, 96.76, 96.76 degrees
Positions (direct):
Y1 0.027 0.696 0.918
Y2 0.082 0.973 0.304
Y3 0.192 0.416 0.563
Y4 0.304 0.082 0.973
Y5 0.416 0.563 0.192
Y6 0.437 0.808 0.584
Y7 0.563 0.192 0.416
Y8 0.584 0.437 0.808
Y9 0.696 0.918 0.027
Y10 0.808 0.584 0.437
Y11 0.918 0.027 0.696
Y12 0.973 0.304 0.082
Cu1 0.114 0.629 0.293
Cu2 0.293 0.114 0.629
Cu3 0.371 0.707 0.886
Cu4 0.629 0.293 0.114
Cu5 0.707 0.886 0.371
Cu6 0.886 0.371 0.707
N1 0.000 0.000 0.000

Values from the calculation:
V: 484.9 Å³ per cell
crystal system: trigonal
DOS(E_F): 1.0451 states/eV per atom
uncorrected formation energy: -150.9 meV/atom
total magnetization: 0.00 μB per formula unit